Crystalline KCr2Cu2O6 at its relaxed geometry. Source: Alexandria, functional GGA+U.

POSCAR file:
```
KCr2Cu2O6
1.0
5.2800 0.0000 0.0000
2.4060 5.4310 0.0000
2.3581 1.7436 6.5727
K Cr Cu O
1 2 2 6
direct
0.0000 0.0000 0.0000
0.3300 0.3475 0.2176
0.6700 0.6525 0.7824
0.4206 0.3158 0.6998
0.5794 0.6842 0.3002
0.0031 0.4576 0.7895
0.4291 0.0450 0.2005
0.4840 0.3745 0.3794
0.5160 0.6255 0.6206
0.5709 0.9550 0.7995
0.9969 0.5424 0.2105
```

Values from the calculation:
Calculated volume = 188 Å³/cell
SG = P-1, No. 2
Electronic total energy = -5.81 eV/atom
N(E_F) = 0.01 states/eV/atom